Run A
# LaPNF2 | the Alexandria database | PBE | relaxed
data_LaPNF2
_chemical_formula_sum 'La1 P1 N1 F2'
_space_group_name_H-M_alt 'P 4/m m m'
_space_group_IT_number 123
_space_group_name_Hall '-P 4 2'
_cell_length_a 4.5923
_cell_length_b 4.5923
_cell_length_c 3.4846
_cell_angle_alpha 90.00
_cell_angle_beta 90.00
_cell_angle_gamma 90.00
loop_
_atom_site_label
_atom_site_type_symbol
_atom_site_fract_x
_atom_site_fract_y
_atom_site_fract_z
_atom_site_occupancy
La1 La 0.0000 0.0000 0.0000 1
P1 P 0.5000 0.5000 0.5000 1
N1 N 0.5000 0.5000 0.0000 1
F1 F 0.0000 0.5000 0.5000 1
# Fermi-level density of states, states/eV/f.u.: 1.84
# Size of the total moment, Bohr magnetons per cell: 0.00



Run B
# LaPNF2 | the Alexandria database | PBE | relaxed
data_LaPNF2
_chemical_formula_sum 'La1 P1 N1 F2'
_space_group_name_H-M_alt 'P 4/m m m'
_space_group_IT_number 123
_space_group_name_Hall '-P 4 2'
_cell_length_a 4.5752
_cell_length_b 4.5752
_cell_length_c 5.2564
_cell_angle_alpha 90.00
_cell_angle_beta 90.00
_cell_angle_gamma 90.00
loop_
_atom_site_label
_atom_site_type_symbol
_atom_site_fract_x
_atom_site_fract_y
_atom_site_fract_z
_atom_site_occupancy
La1 La 0.0000 0.0000 0.0000 1
P1 P 0.5000 0.5000 0.5000 1
N1 N 0.0000 0.0000 0.5000 1
F1 F 0.0000 0.5000 0.0000 1
# Fermi-level density of states, states/eV/f.u.: 0.81
# Size of the total moment, Bohr magnetons per cell: 0.99



Least stable of them? run B.



Run A
# LaPdNF2 | the Alexandria database | PBE | relaxed
data_LaPdNF2
_chemical_formula_sum 'La1 Pd1 N1 F2'
_space_group_name_H-M_alt 'P 4/m m m'
_space_group_IT_number 123
_space_group_name_Hall '-P 4 2'
_cell_length_a 4.1648
_cell_length_b 4.1648
_cell_length_c 4.3023
_cell_angle_alpha 90.00
_cell_angle_beta 90.00
_cell_angle_gamma 90.00
loop_
_atom_site_label
_atom_site_type_symbol
_atom_site_fract_x
_atom_site_fract_y
_atom_site_fract_z
_atom_site_occupancy
La1 La 0.0000 0.0000 0.0000 1
Pd1 Pd 0.5000 0.5000 0.5000 1
N1 N 0.5000 0.5000 0.0000 1
F1 F 0.0000 0.5000 0.5000 1
# Fermi-level density of states, states/eV/f.u.: 0.76
# Size of the total moment, Bohr magnetons per cell: 0.00



Run B
# LaPdNF2 | the Alexandria database | PBE | relaxed
data_LaPdNF2
_chemical_formula_sum 'La1 Pd1 N1 F2'
_space_group_name_H-M_alt 'P 4/m m m'
_space_group_IT_number 123
_space_group_name_Hall '-P 4 2'
_cell_length_a 4.5850
_cell_length_b 4.5850
_cell_length_c 4.9082
_cell_angle_alpha 90.00
_cell_angle_beta 90.00
_cell_angle_gamma 90.00
loop_
_atom_site_label
_atom_site_type_symbol
_atom_site_fract_x
_atom_site_fract_y
_atom_site_fract_z
_atom_site_occupancy
La1 La 0.0000 0.0000 0.0000 1
Pd1 Pd 0.5000 0.5000 0.5000 1
N1 N 0.0000 0.0000 0.5000 1
F1 F 0.0000 0.5000 0.0000 1
# Fermi-level density of states, states/eV/f.u.: 2.72
# Size of the total moment, Bohr magnetons per cell: 2.01



Least stable of them? run B.



Run A
# LaPtN2F | the Alexandria database | PBE | relaxed
data_LaPtN2F
_chemical_formula_sum 'La1 Pt1 N2 F1'
_space_group_name_H-M_alt 'P 4/m m m'
_space_group_IT_number 123
_space_group_name_Hall '-P 4 2'
_cell_length_a 4.8048
_cell_length_b 4.8048
_cell_length_c 4.4485
_cell_angle_alpha 90.00
_cell_angle_beta 90.00
_cell_angle_gamma 90.00
loop_
_atom_site_label
_atom_site_type_symbol
_atom_site_fract_x
_atom_site_fract_y
_atom_site_fract_z
_atom_site_occupancy
La1 La 0.0000 0.0000 0.0000 1
Pt1 Pt 0.5000 0.5000 0.5000 1
N1 N 0.0000 0.5000 0.0000 1
F1 F 0.0000 0.0000 0.5000 1
# Fermi-level density of states, states/eV/f.u.: 5.99
# Size of the total moment, Bohr magnetons per cell: 4.05



Run B
# LaPtN2F | the Alexandria database | PBE | relaxed
data_LaPtN2F
_chemical_formula_sum 'La1 Pt1 N2 F1'
_space_group_name_H-M_alt 'P 4/m m m'
_space_group_IT_number 123
_space_group_name_Hall '-P 4 2'
_cell_length_a 3.9831
_cell_length_b 3.9831
_cell_length_c 4.4664
_cell_angle_alpha 90.00
_cell_angle_beta 90.00
_cell_angle_gamma 90.00
loop_
_atom_site_label
_atom_site_type_symbol
_atom_site_fract_x
_atom_site_fract_y
_atom_site_fract_z
_atom_site_occupancy
La1 La 0.0000 0.0000 0.0000 1
Pt1 Pt 0.5000 0.5000 0.5000 1
N1 N 0.0000 0.5000 0.5000 1
F1 F 0.5000 0.5000 0.0000 1
# Fermi-level density of states, states/eV/f.u.: 3.77
# Size of the total moment, Bohr magnetons per cell: 0.00



Least stable of them? run A.



Run A
# RbLaNF2 | the Alexandria database | PBE | relaxed
data_RbLaNF2
_chemical_formula_sum 'Rb1 La1 N1 F2'
_space_group_name_H-M_alt 'P 4/m m m'
_space_group_IT_number 123
_space_group_name_Hall '-P 4 2'
_cell_length_a 4.6190
_cell_length_b 4.6190
_cell_length_c 4.7623
_cell_angle_alpha 90.00
_cell_angle_beta 90.00
_cell_angle_gamma 90.00
loop_
_atom_site_label
_atom_site_type_symbol
_atom_site_fract_x
_atom_site_fract_y
_atom_site_fract_z
_atom_site_occupancy
Rb1 Rb 0.0000 0.0000 0.0000 1
La1 La 0.5000 0.5000 0.5000 1
N1 N 0.0000 0.0000 0.5000 1
F1 F 0.0000 0.5000 0.0000 1
# Fermi-level density of states, states/eV/f.u.: 1.41
# Size of the total moment, Bohr magnetons per cell: 0.00



Run B
# RbLaNF2 | the Alexandria database | PBE | relaxed
data_RbLaNF2
_chemical_formula_sum 'Rb1 La1 N1 F2'
_space_group_name_H-M_alt 'P 4/m m m'
_space_group_IT_number 123
_space_group_name_Hall '-P 4 2'
_cell_length_a 4.8843
_cell_length_b 4.8843
_cell_length_c 4.3357
_cell_angle_alpha 90.00
_cell_angle_beta 90.00
_cell_angle_gamma 90.00
loop_
_atom_site_label
_atom_site_type_symbol
_atom_site_fract_x
_atom_site_fract_y
_atom_site_fract_z
_atom_site_occupancy
Rb1 Rb 0.0000 0.0000 0.0000 1
La1 La 0.5000 0.5000 0.5000 1
N1 N 0.5000 0.5000 0.0000 1
F1 F 0.0000 0.5000 0.5000 1
# Fermi-level density of states, states/eV/f.u.: 0.87
# Size of the total moment, Bohr magnetons per cell: 0.00



Least stable of them? run A.



Run A
# LaRuNF2 | the Alexandria database | PBE | relaxed
data_LaRuNF2
_chemical_formula_sum 'La1 Ru1 N1 F2'
_space_group_name_H-M_alt 'P 4/m m m'
_space_group_IT_number 123
_space_group_name_Hall '-P 4 2'
_cell_length_a 4.5442
_cell_length_b 4.5442
_cell_length_c 4.8835
_cell_angle_alpha 90.00
_cell_angle_beta 90.00
_cell_angle_gamma 90.00
loop_
_atom_site_label
_atom_site_type_symbol
_atom_site_fract_x
_atom_site_fract_y
_atom_site_fract_z
_atom_site_occupancy
La1 La 0.0000 0.0000 0.0000 1
Ru1 Ru 0.5000 0.5000 0.5000 1
N1 N 0.0000 0.0000 0.5000 1
F1 F 0.0000 0.5000 0.0000 1
# Fermi-level density of states, states/eV/f.u.: 7.34
# Size of the total moment, Bohr magnetons per cell: 3.98



Run B
# LaRuNF2 | the Alexandria database | PBE | relaxed
data_LaRuNF2
_chemical_formula_sum 'La1 Ru1 N1 F2'
_space_group_name_H-M_alt 'P 4/m m m'
_space_group_IT_number 123
_space_group_name_Hall '-P 4 2'
_cell_length_a 4.4677
_cell_length_b 4.4677
_cell_length_c 3.7650
_cell_angle_alpha 90.00
_cell_angle_beta 90.00
_cell_angle_gamma 90.00
loop_
_atom_site_label
_atom_site_type_symbol
_atom_site_fract_x
_atom_site_fract_y
_atom_site_fract_z
_atom_site_occupancy
La1 La 0.0000 0.0000 0.0000 1
Ru1 Ru 0.5000 0.5000 0.5000 1
N1 N 0.5000 0.5000 0.0000 1
F1 F 0.0000 0.5000 0.5000 1
# Fermi-level density of states, states/eV/f.u.: 3.63
# Size of the total moment, Bohr magnetons per cell: 0.39



Least stable of them? run A.



Run A
# LaSN2F | the Alexandria database | PBE | relaxed
data_LaSN2F
_chemical_formula_sum 'La1 S1 N2 F1'
_space_group_name_H-M_alt 'P 4/m m m'
_space_group_IT_number 123
_space_group_name_Hall '-P 4 2'
_cell_length_a 4.2443
_cell_length_b 4.2443
_cell_length_c 3.9710
_cell_angle_alpha 90.00
_cell_angle_beta 90.00
_cell_angle_gamma 90.00
loop_
_atom_site_label
_atom_site_type_symbol
_atom_site_fract_x
_atom_site_fract_y
_atom_site_fract_z
_atom_site_occupancy
La1 La 0.0000 0.0000 0.0000 1
S1 S 0.5000 0.5000 0.0000 1
N1 N 0.0000 0.5000 0.5000 1
F1 F 0.5000 0.5000 0.5000 1
# Fermi-level density of states, states/eV/f.u.: 2.28
# Size of the total moment, Bohr magnetons per cell: 0.00



Run B
# LaSN2F | the Alexandria database | PBE | relaxed
data_LaSN2F
_chemical_formula_sum 'La1 S1 N2 F1'
_space_group_name_H-M_alt 'P 4/m m m'
_space_group_IT_number 123
_space_group_name_Hall '-P 4 2'
_cell_length_a 4.6645
_cell_length_b 4.6645
_cell_length_c 4.4418
_cell_angle_alpha 90.00
_cell_angle_beta 90.00
_cell_angle_gamma 90.00
loop_
_atom_site_label
_atom_site_type_symbol
_atom_site_fract_x
_atom_site_fract_y
_atom_site_fract_z
_atom_site_occupancy
La1 La 0.0000 0.0000 0.0000 1
S1 S 0.5000 0.5000 0.5000 1
N1 N 0.0000 0.5000 0.0000 1
F1 F 0.0000 0.0000 0.5000 1
# Fermi-level density of states, states/eV/f.u.: 6.87
# Size of the total moment, Bohr magnetons per cell: 0.00



Least stable of them? run A.